First-principles (PBE-GGA) data for SrAlGa2Se6 after structural relaxation, as listed in Alexandria via LeMat-Bulk.

abc: 7.793 9.347 9.347
angles: 85.85 69.95 69.95
Fractional positions:
1 Se 0.114 0.686 0.554
2 Se 0.443 0.887 0.375
3 Se 0.386 0.446 0.314
4 Se 0.327 0.172 0.060
5 Se 0.673 0.828 0.940
6 Se 0.614 0.554 0.686
7 Se 0.827 0.060 0.172
8 Al 0.750 0.826 0.174
9 Se 0.886 0.314 0.446
10 Ga 0.872 0.609 0.758
11 Se 0.173 0.940 0.828
12 Se 0.557 0.113 0.625
13 Al 0.250 0.174 0.826
14 Sr 0.750 0.149 0.851
15 Ga 0.128 0.391 0.242
16 Sr 0.250 0.851 0.149
17 Ga 0.372 0.758 0.609
18 Ga 0.628 0.242 0.391
19 Se 0.057 0.625 0.113
20 Se 0.943 0.375 0.887

Its magnetic moment is 0.103 μB/atom. The uncorrected formation energy comes out at -0.810 eV per atom. The total energy is -81.0 eV for the cell shown. As for the density of states at the Fermi level: 0.0 states/eV per cell.



First-principles (PBE-GGA) data for Y2ThAl9 after structural relaxation, as listed in Alexandria via LeMat-Bulk.

abc: 5.593 5.593 9.366
angles: 72.63 72.63 60.00
Fractional positions:
1 Al 0.500 0.500 0.500
2 Al 0.335 0.335 0.995
3 Al 0.587 0.587 0.750
4 Th 0.000 0.000 0.000
5 Al 0.923 0.413 0.250
6 Al 0.587 0.077 0.750
7 Al 0.665 0.665 0.005
8 Y 0.141 0.141 0.577
9 Al 0.413 0.413 0.250
10 Al 0.077 0.587 0.750
11 Y 0.859 0.859 0.423
12 Al 0.413 0.923 0.250

Its magnetic moment is 0.000 μB/atom. The formation energy comes out at -4.649 eV/f.u. The total energy is -58.7 eV for the cell shown. As for the density of states at the Fermi level: 6.7 states/eV per cell.



First-principles (PBE-GGA) data for Na2MgB after structural relaxation, as listed in Alexandria via LeMat-Bulk.

abc: 9.813 9.813 7.304
angles: 47.80 47.80 90.00
Fractional positions:
1 Na 0.375 0.526 0.750
2 Mg 0.000 0.000 0.000
3 Na 0.276 0.625 0.250
4 B 0.500 0.500 0.000
5 Na 0.875 0.724 0.750
6 Mg 0.750 0.250 0.500
7 Na 0.474 0.125 0.250
8 B 0.250 0.750 0.500

Its magnetic moment is 0.109 μB/atom. The formation energy comes out at 2.726 eV/f.u. The total energy is -16.4 eV for the cell shown. As for the density of states at the Fermi level: 5.8 states/eV per cell. For the energy above the most stable polymorph in this dataset, the calculation gives 0.0 kJ/mol of atoms.



First-principles (PBE-GGA) data for Ba2Cd6Ga after structural relaxation, as listed in Alexandria via LeMat-Bulk.

abc: 6.654 6.651 6.638
angles: 89.98 90.00 120.02
Fractional positions:
1 Ba 0.333 0.666 0.847
2 Ga 0.000 0.000 0.000
3 Cd 0.348 0.174 0.667
4 Cd 0.826 0.174 0.667
5 Cd 0.826 0.653 0.667
6 Cd 0.174 0.826 0.333
7 Cd 0.652 0.826 0.333
8 Cd 0.174 0.347 0.333
9 Ba 0.667 0.334 0.153

Its magnetic moment is 0.000 μB/atom. The formation energy comes out at -2.335 eV/f.u. The total energy is -14.7 eV for the cell shown. As for the density of states at the Fermi level: 4.8 states/eV per cell.



First-principles (PBE-GGA) data for Li2SO5 after structural relaxation, as listed in Alexandria via LeMat-Bulk.

abc: 5.060 5.203 8.044
angles: 78.55 90.00 90.00
Fractional positions:
1 O 0.222 0.333 0.794
2 Li 0.477 0.464 0.378
3 S 0.009 0.724 0.221
4 O 0.609 0.408 0.610
5 Li 0.016 0.308 0.007
6 O 0.047 0.014 0.198
7 O 0.656 0.378 0.913
8 O 0.109 0.592 0.390
9 S 0.509 0.276 0.779
10 O 0.427 0.080 0.344
11 O 0.927 0.920 0.656
12 O 0.547 0.986 0.802
13 O 0.722 0.667 0.206
14 Li 0.516 0.692 0.993
15 O 0.156 0.622 0.087
16 Li 0.977 0.536 0.622

Its magnetic moment is 0.256 μB/atom. The uncorrected formation energy comes out at -1.311 eV per atom. The total energy is -86.5 eV for the cell shown. For the energy above the most stable polymorph in this dataset, the calculation gives 0.0 kJ/mol of atoms.



First-principles (PBE-GGA) data for PmSm15Dy4 after structural relaxation, as listed in Alexandria via LeMat-Bulk.

abc: 5.110 5.110 25.515
angles: 90.00 90.00 90.00
Fractional positions:
1 Sm 0.500 0.000 0.699
2 Sm 0.500 0.000 0.899
3 Dy 0.000 0.000 0.201
4 Dy 0.000 0.000 0.400
5 Sm 0.500 0.500 0.799
6 Sm 0.500 0.500 0.201
7 Sm 0.000 0.500 0.500
8 Sm 0.000 0.500 0.899
9 Sm 0.500 0.000 0.500
10 Sm 0.000 0.500 0.301
11 Sm 0.500 0.500 0.000
12 Sm 0.500 0.500 0.600
13 Dy 0.000 0.000 0.600
14 Sm 0.000 0.500 0.699
15 Dy 0.000 0.000 0.799
16 Sm 0.000 0.500 0.101
17 Sm 0.500 0.500 0.400
18 Sm 0.500 0.000 0.301
19 Sm 0.500 0.000 0.101
20 Pm 0.000 0.000 0.000

Its magnetic moment is 0.000 μB/atom. The formation energy comes out at 0.319 eV/f.u. The total energy is -93.6 eV for the cell shown. As for the density of states at the Fermi level: 27.9 states/eV per cell.



First-principles (PBE-GGA) data for Li4LaIr after structural relaxation, as listed in Alexandria via LeMat-Bulk.

abc: 5.245 5.245 5.245
angles: 60.00 60.00 60.00
Fractional positions:
1 Li 0.379 0.379 0.379
2 Li 0.379 0.862 0.379
3 Li 0.379 0.379 0.862
4 Li 0.862 0.379 0.379
5 La 0.000 0.000 0.000
6 Ir 0.750 0.750 0.750

Its magnetic moment is 0.000 μB/atom. The formation energy comes out at -0.091 eV/f.u. The total energy is -21.5 eV for the cell shown. As for the density of states at the Fermi level: 5.4 states/eV per cell.



First-principles (PBE-GGA) data for La4Rh2Pb after structural relaxation, as listed in Alexandria via LeMat-Bulk.

abc: 9.057 9.059 7.232
angles: 107.19 107.21 121.39
Fractional positions:
1 Rh 0.771 0.849 0.374
2 La 0.796 0.117 0.774
3 Rh 0.624 0.194 0.059
4 La 0.814 0.600 0.569
5 Pb 0.055 0.032 0.095
6 La 0.398 0.991 0.211
7 La 0.241 0.148 0.713
8 Rh 0.098 0.522 0.873
9 La 0.540 0.720 0.917
10 Rh 0.444 0.373 0.559
11 La 0.851 0.565 0.070
12 Pb 0.281 0.805 0.597
13 La 0.366 0.546 0.274
14 La 0.971 0.289 0.417

Its magnetic moment is 0.000 μB/atom. The formation energy comes out at -4.401 eV/f.u. The total energy is -85.0 eV for the cell shown. As for the density of states at the Fermi level: 12.6 states/eV per cell.



First-principles (PBE-GGA) data for LaCuO3 after structural relaxation, as listed in Alexandria via LeMat-Bulk.

abc: 3.742 7.178 6.078
angles: 90.00 90.07 90.00
Fractional positions:
1 O 0.250 0.914 0.147
2 O 0.750 0.086 0.853
3 O 0.750 0.414 0.853
4 Cu 0.250 0.750 0.371
5 O 0.751 0.250 0.341
6 O 0.250 0.586 0.147
7 La 0.750 0.750 0.917
8 La 0.250 0.250 0.083
9 Cu 0.750 0.250 0.629
10 O 0.249 0.750 0.659

Its magnetic moment is 0.000 μB/atom. The uncorrected formation energy comes out at -1.816 eV per atom. The total energy is -66.0 eV for the cell shown. As for the density of states at the Fermi level: 0.0 states/eV per cell.



First-principles (PBE-GGA) data for NaDy3Se4 after structural relaxation, as listed in Alexandria via LeMat-Bulk.

abc: 4.070 7.118 7.118
angles: 109.00 90.00 90.00
Fractional positions:
1 Dy 0.000 0.000 0.500
2 Se 0.500 0.750 0.250
3 Dy 0.500 0.500 0.500
4 Dy 0.000 0.500 0.000
5 Se 0.000 0.746 0.746
6 Na 0.500 0.000 0.000
7 Se 0.000 0.254 0.254
8 Se 0.500 0.250 0.750

Its magnetic moment is 0.000 μB/atom. The uncorrected formation energy comes out at -1.730 eV per atom. The total energy is -42.9 eV for the cell shown. As for the density of states at the Fermi level: 2.7 states/eV per cell. For the energy above the most stable polymorph in this dataset, the calculation gives 0.0 kJ/mol of atoms.



First-principles (PBE-GGA) data for AcH8Pd3Pt2 after structural relaxation, as listed in Alexandria via LeMat-Bulk.

abc: 5.921 5.921 5.901
angles: 59.89 59.89 60.00
Fractional positions:
1 H 0.251 0.251 0.741
2 Pd 0.010 0.497 0.996
3 H 0.699 0.371 0.231
4 H 0.699 0.699 0.231
5 H 0.757 0.251 0.741
6 H 0.371 0.699 0.231
7 Pd 0.497 0.497 0.996
8 Pt 0.496 0.496 0.511
9 Pd 0.497 0.010 0.996
10 H 0.710 0.710 0.869
11 Pt 0.127 0.127 0.620
12 Ac 0.876 0.876 0.373
13 H 0.251 0.757 0.741
14 H 0.252 0.252 0.243

Its magnetic moment is 0.000 μB/atom. The total energy is -60.9 eV for the cell shown. As for the density of states at the Fermi level: 2.8 states/eV per cell.



First-principles (PBE-GGA) data for Pm4SnOs after structural relaxation, as listed in Alexandria via LeMat-Bulk.

abc: 6.251 8.816 8.225
angles: 114.05 101.48 109.75
Fractional positions:
1 Pm 0.712 0.352 0.139
2 Sn 0.377 0.627 0.254
3 Pm 0.288 0.648 0.861
4 Os 0.251 0.001 0.001
5 Pm 0.380 0.940 0.660
6 Sn 0.623 0.373 0.746
7 Pm 0.927 0.787 0.139
8 Pm 0.620 0.060 0.340
9 Pm 0.073 0.213 0.861
10 Os 0.749 0.999 0.999
11 Pm 0.220 0.280 0.340
12 Pm 0.780 0.720 0.660

Its magnetic moment is 0.000 μB/atom. The formation energy comes out at -2.251 eV/f.u. The total energy is -73.0 eV for the cell shown. As for the density of states at the Fermi level: 12.0 states/eV per cell.



First-principles (PBE-GGA) data for Zr2TlPd8 after structural relaxation, as listed in Alexandria via LeMat-Bulk.

abc: 4.072 6.608 7.581
angles: 105.40 105.58 90.00
Fractional positions:
1 Pd 0.851 0.794 0.703
2 Tl 0.500 0.000 0.000
3 Pd 0.679 0.912 0.357
4 Pd 0.958 0.278 0.916
5 Pd 0.404 0.541 0.808
6 Pd 0.596 0.459 0.192
7 Pd 0.149 0.206 0.297
8 Pd 0.042 0.722 0.084
9 Zr 0.782 0.335 0.563
10 Pd 0.321 0.088 0.643
11 Zr 0.218 0.665 0.437

Its magnetic moment is 0.000 μB/atom. The formation energy comes out at -5.646 eV/f.u. The total energy is -66.7 eV for the cell shown. As for the density of states at the Fermi level: 5.0 states/eV per cell.



First-principles (PBE-GGA) data for Ca3Pm2Ga3 after structural relaxation, as listed in Alexandria via LeMat-Bulk.

abc: 6.780 8.976 8.976
angles: 60.00 90.00 90.00
Fractional positions:
1 Pm 0.000 0.667 0.667
2 Ca 0.750 0.000 0.254
3 Ca 0.250 0.746 0.254
4 Ga 0.250 0.599 0.000
5 Ca 0.750 0.746 0.000
6 Pm 0.500 0.333 0.333
7 Ga 0.250 0.000 0.401
8 Ga 0.750 0.401 0.000
9 Ga 0.250 0.401 0.599
10 Pm 0.000 0.333 0.333
11 Ga 0.750 0.000 0.599
12 Ga 0.750 0.599 0.401
13 Pm 0.500 0.667 0.667
14 Ca 0.750 0.254 0.746
15 Ca 0.250 0.000 0.746
16 Ca 0.250 0.254 0.000

Its magnetic moment is 0.000 μB/atom. The formation energy comes out at -3.151 eV/f.u. The total energy is -55.5 eV for the cell shown. As for the density of states at the Fermi level: 13.9 states/eV per cell.



First-principles (PBE-GGA) data for Mg2InAg7 after structural relaxation, as listed in Alexandria via LeMat-Bulk.

abc: 4.566 8.046 8.046
angles: 125.02 90.00 90.00
Fractional positions:
1 Ag 0.000 0.806 0.194
2 Ag 0.000 0.194 0.806
3 Ag 0.500 0.710 0.920
4 Mg 0.500 0.298 0.702
5 Ag 0.500 0.920 0.710
6 In 0.000 0.000 0.000
7 Ag 0.500 0.290 0.080
8 Mg 0.500 0.702 0.298
9 Ag 0.500 0.080 0.290
10 Ag 0.500 0.500 0.500

Its magnetic moment is 0.000 μB/atom. The formation energy comes out at 2.064 eV/f.u. The total energy is -23.8 eV for the cell shown. As for the density of states at the Fermi level: 3.7 states/eV per cell.



First-principles (PBE-GGA) data for BaRe2Si after structural relaxation, as listed in Alexandria via LeMat-Bulk.

abc: 4.336 4.336 6.537
angles: 70.63 70.63 60.00
Fractional positions:
1 Re 0.061 0.061 0.816
2 Si 0.437 0.437 0.690
3 Re 0.752 0.752 0.745
4 Ba 0.251 0.251 0.248

Its magnetic moment is 0.000 μB/atom. The uncorrected formation energy comes out at 0.021 eV per atom. The total energy is -32.2 eV for the cell shown. As for the density of states at the Fermi level: 3.7 states/eV per cell.



First-principles (PBE-GGA) data for Ac4Y3Er after structural relaxation, as listed in Alexandria via LeMat-Bulk.

abc: 5.406 10.453 10.813
angles: 90.00 90.00 90.00
Fractional positions:
1 Ac 0.564 0.138 0.000
2 Er 0.564 0.610 0.500
3 Y 0.564 0.608 0.000
4 Ac 0.564 0.863 0.750
5 Ac 0.564 0.136 0.500
6 Er 0.064 0.390 0.000
7 Y 0.064 0.609 0.751
8 Y 0.064 0.392 0.500
9 Ac 0.064 0.862 0.500
10 Y 0.564 0.391 0.251
11 Y 0.564 0.391 0.749
12 Ac 0.564 0.863 0.250
13 Ac 0.064 0.864 0.000
14 Ac 0.064 0.137 0.250
15 Ac 0.064 0.137 0.750
16 Y 0.064 0.609 0.249

Its magnetic moment is 0.000 μB/atom. The formation energy comes out at 0.492 eV/f.u. The total energy is -79.8 eV for the cell shown. As for the density of states at the Fermi level: 30.6 states/eV per cell.



First-principles (PBE-GGA) data for SiMoIr after structural relaxation, as listed in Alexandria via LeMat-Bulk.

abc: 2.796 2.796 6.369
angles: 90.00 90.00 120.00
Fractional positions:
1 Si 0.333 0.667 0.675
2 Ir 0.000 0.000 0.985
3 Mo 0.667 0.333 0.340

Its magnetic moment is 0.000 μB/atom. The uncorrected formation energy comes out at -0.203 eV per atom. The total energy is -25.7 eV for the cell shown. As for the density of states at the Fermi level: 2.6 states/eV per cell. For the energy above the most stable polymorph in this dataset, the calculation gives 31.3 kJ/mol of atoms.



First-principles (PBE-GGA) data for LiAcY2Tl4 after structural relaxation, as listed in Alexandria via LeMat-Bulk.

abc: 5.314 5.314 9.901
angles: 74.43 74.43 60.00
Fractional positions:
1 Tl 0.871 0.871 0.388
2 Tl 0.129 0.129 0.612
3 Y 0.759 0.759 0.723
4 Ac 0.000 0.000 0.000
5 Y 0.241 0.241 0.277
6 Tl 0.614 0.614 0.158
7 Tl 0.386 0.386 0.842
8 Li 0.500 0.500 0.500

Its magnetic moment is 0.000 μB/atom. The formation energy comes out at -2.494 eV/f.u. The total energy is -30.9 eV for the cell shown. As for the density of states at the Fermi level: 4.9 states/eV per cell.



First-principles (PBE-GGA) data for Pr2GdIr after structural relaxation, as listed in Alexandria via LeMat-Bulk.

abc: 3.927 3.927 10.946
angles: 79.67 79.67 60.00
Fractional positions:
1 Pr 0.886 0.886 0.341
2 Ir 0.500 0.500 0.500
3 Pr 0.114 0.114 0.659
4 Gd 0.000 0.000 0.000

Its magnetic moment is 2.102 μB/atom. The formation energy comes out at -0.197 eV/f.u. The total energy is -32.7 eV for the cell shown. As for the density of states at the Fermi level: 8.8 states/eV per cell.



First-principles (PBE-GGA) data for CsPAu3 after structural relaxation, as listed in Alexandria via LeMat-Bulk.

abc: 5.047 5.047 5.047
angles: 90.00 90.00 90.00
Fractional positions:
1 Cs 0.500 0.500 0.500
2 Au 0.500 0.000 0.000
3 Au 0.000 0.500 0.000
4 Au 0.000 0.000 0.500
5 P 0.000 0.000 0.000

Its magnetic moment is 0.000 μB/atom. The formation energy comes out at -0.646 eV/f.u. The total energy is -16.7 eV for the cell shown. As for the density of states at the Fermi level: 0.4 states/eV per cell. For the energy above the most stable polymorph in this dataset, the calculation gives 7.2 kJ/mol of atoms.



First-principles (PBE-GGA) data for Ca2MgRhN after structural relaxation, as listed in Alexandria via LeMat-Bulk.

abc: 4.848 4.094 4.848
angles: 90.00 90.00 90.00
Fractional positions:
1 Rh 0.500 0.500 0.500
2 Mg 0.000 0.500 0.000
3 N 0.000 0.000 0.000
4 Ca 0.500 0.000 0.000
5 Ca 0.000 0.000 0.500

Its magnetic moment is 0.000 μB/atom. The uncorrected formation energy comes out at -0.459 eV per atom. The total energy is -23.6 eV for the cell shown. As for the density of states at the Fermi level: 1.2 states/eV per cell. For the energy above the most stable polymorph in this dataset, the calculation gives 0.0 kJ/mol of atoms.